[1]
Entry from Alexandria via LeMat-Bulk: a geometry-optimized Tb3Pr3SmS8 structure (PBE).

Calculated values
The formation energy without anion corrections is -30.70 eV/f.u. Its density of states at the Fermi level is 20.79 states/eV/cell. The calculated total energy is -6.445 eV per atom.

Cell and atoms, written as CIF:
```
data_Tb3Pr3SmS8
_chemical_formula_sum 'Tb9 Pr9 Sm3 S24'
_cell_length_a 7.9811
_cell_length_b 7.9811
_cell_length_c 19.8322
_cell_angle_alpha 90.00
_cell_angle_beta 90.00
_cell_angle_gamma 120.00
_symmetry_space_group_name_H-M 'R -3 m'
_symmetry_Int_Tables_number 166
_symmetry_space_group_name_Hall '-R 3 2"'
loop_
_atom_site_label
_atom_site_type_symbol
_atom_site_fract_x
_atom_site_fract_y
_atom_site_fract_z
_atom_site_occupancy
Tb1 Tb 0.0000 0.5000 0.0000 1
Pr1 Pr 0.0000 0.5000 0.5000 1
Sm1 Sm 0.0000 0.0000 0.0000 1
S1 S 0.0000 0.0000 0.2552 1
S2 S 0.0069 0.5034 0.2536 1
```

---

[2]
Entry from Alexandria via LeMat-Bulk: a geometry-optimized DyMg6Zn6 structure (PBE).

Calculated values
Its density of states at the Fermi level is 8.01 states/eV/cell. The formation energy is -158 meV/atom. The calculated total energy is -1.836 eV per atom.

Cell and atoms, written as CIF:
```
data_DyMg6Zn6
_chemical_formula_sum 'Dy2 Mg12 Zn12'
_cell_length_a 5.471
_cell_length_b 9.372
_cell_length_c 9.507
_cell_angle_alpha 90.00
_cell_angle_beta 90.00
_cell_angle_gamma 90.00
_symmetry_space_group_name_H-M 'I m m m'
_symmetry_Int_Tables_number 71
_symmetry_space_group_name_Hall '-I 2 2'
loop_
_atom_site_label
_atom_site_type_symbol
_atom_site_fract_x
_atom_site_fract_y
_atom_site_fract_z
_atom_site_occupancy
Dy1 Dy 0.000 0.000 0.000 1
Mg1 Mg 0.000 0.000 0.346 1
Mg2 Mg 0.000 0.305 0.500 1
Mg3 Mg 0.000 0.347 0.000 1
Zn1 Zn 0.000 0.500 0.276 1
Zn2 Zn 0.250 0.250 0.250 1
```

---

[3]
Entry from Alexandria via LeMat-Bulk: a geometry-optimized ScIr2Au structure (PBE).

Calculated values
Its density of states at the Fermi level is 5.75 states/eV/cell. The formation energy is -237 meV/atom. The calculated total energy is -7.069 eV per atom. The energy above the most stable polymorph in this dataset is 0.264 eV/atom.

Cell and atoms, written as CIF:
```
data_ScIr2Au
_chemical_formula_sum 'Sc2 Ir4 Au2'
_cell_length_a 2.995
_cell_length_b 4.684
_cell_length_c 9.476
_cell_angle_alpha 90.00
_cell_angle_beta 90.00
_cell_angle_gamma 90.00
_symmetry_space_group_name_H-M 'I m m m'
_symmetry_Int_Tables_number 71
_symmetry_space_group_name_Hall '-I 2 2'
loop_
_atom_site_label
_atom_site_type_symbol
_atom_site_fract_x
_atom_site_fract_y
_atom_site_fract_z
_atom_site_occupancy
Sc1 Sc 0.000 0.000 0.000 1
Ir1 Ir 0.000 0.500 0.265 1
Au1 Au 0.000 0.000 0.500 1
```

---

[4]
Entry from Alexandria via LeMat-Bulk: a geometry-optimized ThScZnPt structure (PBE).

Calculated values
Its density of states at the Fermi level is 12.24 states/eV/cell. The formation energy is -642 meV/atom. The calculated total energy is -5.909 eV per atom.

Cell and atoms, written as CIF:
```
data_ThScZnPt
_chemical_formula_sum 'Th4 Sc4 Zn4 Pt4'
_cell_length_a 7.036
_cell_length_b 7.036
_cell_length_c 7.036
_cell_angle_alpha 90.00
_cell_angle_beta 90.00
_cell_angle_gamma 90.00
_symmetry_space_group_name_H-M 'F -4 3 m'
_symmetry_Int_Tables_number 216
_symmetry_space_group_name_Hall 'F -4 2 3'
loop_
_atom_site_label
_atom_site_type_symbol
_atom_site_fract_x
_atom_site_fract_y
_atom_site_fract_z
_atom_site_occupancy
Th1 Th 0.000 0.000 0.000 1
Sc1 Sc 0.000 0.000 0.500 1
Zn1 Zn 0.250 0.250 0.250 1
Pt1 Pt 0.250 0.250 0.750 1
```

---

[5]
Entry from Alexandria via LeMat-Bulk: a geometry-optimized PrHo2Rh structure (PBE).

Calculated values
Its density of states at the Fermi level is 17.98 states/eV/cell. The formation energy is -496 meV/atom. The calculated total energy is -5.818 eV per atom. The energy above the most stable polymorph in this dataset is 0.000 eV/atom.

Cell and atoms, written as CIF:
```
data_PrHo2Rh
_chemical_formula_sum 'Pr4 Ho8 Rh4'
_cell_length_a 7.220
_cell_length_b 9.515
_cell_length_c 6.445
_cell_angle_alpha 90.00
_cell_angle_beta 90.00
_cell_angle_gamma 90.00
_symmetry_space_group_name_H-M 'P n m a'
_symmetry_Int_Tables_number 62
_symmetry_space_group_name_Hall '-P 2ac 2n'
loop_
_atom_site_label
_atom_site_type_symbol
_atom_site_fract_x
_atom_site_fract_y
_atom_site_fract_z
_atom_site_occupancy
Pr1 Pr 0.034 0.250 0.137 1
Ho1 Ho 0.176 0.065 0.669 1
Rh1 Rh 0.117 0.750 0.425 1
```

---

[6]
Entry from Alexandria via LeMat-Bulk: a geometry-optimized ZrCuSi structure (PBE).

Calculated values
The formation energy without anion corrections is -1.84 eV/f.u. Its density of states at the Fermi level is 2.04 states/eV/cell. The calculated total energy is -6.637 eV per atom.

Cell and atoms, written as CIF:
```
data_ZrCuSi
_chemical_formula_sum 'Zr1 Cu1 Si1'
_cell_length_a 3.9513
_cell_length_b 3.9513
_cell_length_c 3.5823
_cell_angle_alpha 90.00
_cell_angle_beta 90.00
_cell_angle_gamma 120.00
_symmetry_space_group_name_H-M 'P -6 m 2'
_symmetry_Int_Tables_number 187
_symmetry_space_group_name_Hall 'P -6 2'
loop_
_atom_site_label
_atom_site_type_symbol
_atom_site_fract_x
_atom_site_fract_y
_atom_site_fract_z
_atom_site_occupancy
Zr1 Zr 0.0000 0.0000 0.0000 1
Cu1 Cu 0.6667 0.3333 0.5000 1
Si1 Si 0.3333 0.6667 0.5000 1
```

---

[7]
Entry from Alexandria via LeMat-Bulk: a geometry-optimized Ho2ErIr9 structure (PBE).

Calculated values
Its density of states at the Fermi level is 36.14 states/eV/cell. The formation energy is -587 meV/atom. The calculated total energy is -8.376 eV per atom.

Cell and atoms, written as CIF:
```
data_Ho2ErIr9
_chemical_formula_sum 'Ho6 Er3 Ir27'
_cell_length_a 5.2919
_cell_length_b 5.2919
_cell_length_c 26.3415
_cell_angle_alpha 90.00
_cell_angle_beta 90.00
_cell_angle_gamma 120.00
_symmetry_space_group_name_H-M 'R -3 m'
_symmetry_Int_Tables_number 166
_symmetry_space_group_name_Hall '-R 3 2"'
loop_
_atom_site_label
_atom_site_type_symbol
_atom_site_fract_x
_atom_site_fract_y
_atom_site_fract_z
_atom_site_occupancy
Ho1 Ho 0.0000 0.0000 0.1391 1
Er1 Er 0.0000 0.0000 0.0000 1
Ir1 Ir 0.0000 0.0000 0.3329 1
Ir2 Ir 0.0000 0.0000 0.5000 1
Ir3 Ir 0.0004 0.5002 0.0822 1
```

---

[8]
Entry from Alexandria via LeMat-Bulk: a geometry-optimized Tb5NdHoEr2 structure (PBE).

Calculated values
Its density of states at the Fermi level is 58.17 states/eV/cell. The formation energy is 159 meV/atom. The calculated total energy is -4.466 eV per atom.

Cell and atoms, written as CIF:
```
data_Tb5NdHoEr2
_chemical_formula_sum 'Tb20 Nd4 Ho4 Er8'
_cell_length_a 5.610
_cell_length_b 19.869
_cell_length_c 10.536
_cell_angle_alpha 90.00
_cell_angle_beta 90.00
_cell_angle_gamma 90.00
_symmetry_space_group_name_H-M 'C m c 21'
_symmetry_Int_Tables_number 36
_symmetry_space_group_name_Hall 'C 2c -2'
loop_
_atom_site_label
_atom_site_type_symbol
_atom_site_fract_x
_atom_site_fract_y
_atom_site_fract_z
_atom_site_occupancy
Tb1 Tb 0.000 0.018 0.000 1
Tb2 Tb 0.000 0.281 0.289 1
Tb3 Tb 0.000 0.298 0.685 1
Tb4 Tb 0.000 0.387 0.000 1
Tb5 Tb 0.000 0.479 0.715 1
Nd1 Nd 0.000 0.415 0.428 1
Ho1 Ho 0.000 0.199 0.989 1
Er1 Er 0.000 0.111 0.712 1
Er2 Er 0.000 0.114 0.295 1
```

---

[9]
Entry from Alexandria via LeMat-Bulk: a geometry-optimized Ca4Sn3Hg structure (PBE).

Calculated values
Its density of states at the Fermi level is 4.56 states/eV/cell. The formation energy is -624 meV/atom. The calculated total energy is -3.164 eV per atom. The energy above the most stable polymorph in this dataset is 0.000 eV/atom.

Cell and atoms, written as CIF:
```
data_Ca4Sn3Hg
_chemical_formula_sum 'Ca8 Sn6 Hg2'
_cell_length_a 11.020
_cell_length_b 7.494
_cell_length_c 5.513
_cell_angle_alpha 90.00
_cell_angle_beta 90.00
_cell_angle_gamma 90.00
_symmetry_space_group_name_H-M 'P m m a'
_symmetry_Int_Tables_number 51
_symmetry_space_group_name_Hall '-P 2a 2a'
loop_
_atom_site_label
_atom_site_type_symbol
_atom_site_fract_x
_atom_site_fract_y
_atom_site_fract_z
_atom_site_occupancy
Ca1 Ca 0.000 0.248 0.000 1
Ca2 Ca 0.250 0.248 0.494 1
Sn1 Sn 0.000 0.500 0.500 1
Sn2 Sn 0.250 0.000 0.995 1
Sn3 Sn 0.250 0.500 0.991 1
Hg1 Hg 0.000 0.000 0.500 1
```

---

[10]
Entry from Alexandria via LeMat-Bulk: a geometry-optimized Tc2GeHPd structure (PBE).

Calculated values
Its density of states at the Fermi level is 3.60 states/eV/cell. The calculated total energy is -5.777 eV per atom.

Cell and atoms, written as CIF:
```
data_Tc2GeHPd
_chemical_formula_sum 'Tc2 Ge1 H1 Pd1'
_cell_length_a 4.996
_cell_length_b 4.996
_cell_length_c 3.080
_cell_angle_alpha 90.00
_cell_angle_beta 90.00
_cell_angle_gamma 90.00
_symmetry_space_group_name_H-M 'P 4/m m m'
_symmetry_Int_Tables_number 123
_symmetry_space_group_name_Hall '-P 4 2'
loop_
_atom_site_label
_atom_site_type_symbol
_atom_site_fract_x
_atom_site_fract_y
_atom_site_fract_z
_atom_site_occupancy
Tc1 Tc 0.000 0.500 0.000 1
Ge1 Ge 0.000 0.000 0.500 1
H1 H 0.500 0.500 0.500 1
Pd1 Pd 0.500 0.500 0.000 1
```

---

[11]
Entry from Alexandria via LeMat-Bulk: a geometry-optimized TbCe4Bi5 structure (PBE).

Calculated values
Its density of states at the Fermi level is 52.02 states/eV/cell. The formation energy is -807 meV/atom. The calculated total energy is -5.584 eV per atom.

Cell and atoms, written as CIF:
```
data_TbCe4Bi5
_chemical_formula_sum 'Tb2 Ce8 Bi10'
_cell_length_a 4.582
_cell_length_b 6.481
_cell_length_c 22.904
_cell_angle_alpha 90.00
_cell_angle_beta 90.00
_cell_angle_gamma 90.00
_symmetry_space_group_name_H-M 'I m m m'
_symmetry_Int_Tables_number 71
_symmetry_space_group_name_Hall '-I 2 2'
loop_
_atom_site_label
_atom_site_type_symbol
_atom_site_fract_x
_atom_site_fract_y
_atom_site_fract_z
_atom_site_occupancy
Tb1 Tb 0.000 0.000 0.000 1
Ce1 Ce 0.000 0.000 0.199 1
Ce2 Ce 0.000 0.000 0.400 1
Bi1 Bi 0.000 0.500 0.000 1
Bi2 Bi 0.000 0.500 0.200 1
Bi3 Bi 0.000 0.500 0.402 1
```

---

[12]
Entry from Alexandria via LeMat-Bulk: a geometry-optimized CrPtSe structure (PBE).

Calculated values
The formation energy without anion corrections is 0.08 eV/f.u. Its density of states at the Fermi level is 4.37 states/eV/cell. The calculated total energy is -6.356 eV per atom. The energy above the most stable polymorph in this dataset is 0.042 eV/atom.

Cell and atoms, written as CIF:
```
data_CrPtSe
_chemical_formula_sum 'Cr2 Pt2 Se2'
_cell_length_a 2.852
_cell_length_b 2.852
_cell_length_c 12.092
_cell_angle_alpha 90.00
_cell_angle_beta 90.00
_cell_angle_gamma 90.00
_symmetry_space_group_name_H-M 'I 4 m m'
_symmetry_Int_Tables_number 107
_symmetry_space_group_name_Hall 'I 4 -2'
loop_
_atom_site_label
_atom_site_type_symbol
_atom_site_fract_x
_atom_site_fract_y
_atom_site_fract_z
_atom_site_occupancy
Cr1 Cr 0.000 0.000 0.000 1
Pt1 Pt 0.000 0.000 0.641 1
Se1 Se 0.000 0.000 0.379 1
```